The following is a PBE+U calculation of an optimized crystal structure of Mn3Co3Te2O12, from Alexandria.

Summary:
Energy: -6.4488 eV/atom
Size of the total moment: 72.000 Bohr magnetons per cell

abc: 8.8351 8.8351 10.7710
angles: 90.00 90.00 120.00
Closest atoms and distances in Å follow each position.
Space group R3 (No. 146, hexagonal axes)
Inequivalent atoms, fractional coordinates:
Mn (0.1100, 0.7059, 0.0000) (multiplicity 9)  5 O 2.12-2.25
Co (0.0433, 0.2657, 0.7594) (multiplicity 9)  5 O 2.07-2.20
Te (0.0000, 0.0000, 0.0416) (multiplicity 3)  6 O 1.96
Te (0.0000, 0.0000, 0.5499) (multiplicity 3)  6 O 1.96
O (0.0249, 0.1860, 0.4373) (multiplicity 9)  1 Te 1.96, 1 Co 2.12
O (0.0268, 0.2005, 0.9458) (multiplicity 9)  1 Te 1.96, 1 Co 2.07
O (0.1696, 0.7052, 0.8077) (multiplicity 9)  1 Te 1.96, 1 Co 2.09, 1 Mn 2.14
O (0.1772, 0.6956, 0.3304) (multiplicity 9)  1 Te 1.96, 1 Mn 2.12, 1 Co 2.19